Material: La2Al3ZnGa4
Method: DFT, GGA-PBE
State: optimized geometry

Results
D(E_F): 0.263 states/eV/atom
Formation energy from the elements: -0.47 eV/atom
SG: P-4m2 (115)
Magnetization: 0.00 μB per cell

abc: 4.415 4.415 10.590
angles: 90.00 90.00 90.00
Sites, in units of the cell vectors:
Al (0.000, 0.500, 0.131)
Al (0.000, 0.000, 0.500)
Al (0.500, 0.000, 0.869)
La (0.000, 0.500, 0.753)
La (0.500, 0.000, 0.247)
Ga (0.500, 0.000, 0.633)
Ga (0.500, 0.500, 0.000)
Ga (0.000, 0.500, 0.367)
Ga (0.000, 0.000, 0.000)
Zn (0.500, 0.500, 0.500)

***

Material: YTi2GaC
Method: DFT, GGA-PBE
State: optimized geometry

Results
D(E_F): 0.729 states/eV/atom
Formation energy from the elements: -0.45 eV/atom
SG: P4/mmm (123)
Magnetization: 0.02 μB per cell

abc: 4.255 4.255 4.744
angles: 90.00 90.00 90.00
Sites, in units of the cell vectors:
Y (0.000, 0.000, 0.500)
Ga (0.500, 0.500, 0.500)
C (0.000, 0.000, 0.000)
Ti (0.500, 0.000, 0.000)
Ti (0.000, 0.500, 0.000)

***

Material: CdHPd3
Method: DFT, GGA-PBE
State: optimized geometry

Results
D(E_F): 0.362 states/eV/atom
SG: Cmcm (63)
Magnetization: 0.00 μB per cell
Energy above the most stable polymorph in this dataset: 189.9 meV per atom

abc: 5.404 5.404 5.572
angles: 90.00 90.00 118.45
Sites, in units of the cell vectors:
Pd (0.016, 0.483, 0.250)
Pd (0.984, 0.517, 0.750)
Pd (0.000, 0.000, 0.500)
Pd (0.000, 0.000, 0.000)
Pd (0.483, 0.016, 0.750)
Pd (0.517, 0.984, 0.250)
Cd (0.481, 0.519, 0.750)
Cd (0.519, 0.481, 0.250)
H (0.139, 0.861, 0.250)
H (0.861, 0.139, 0.750)

***

Material: Np2GaGe4Pt3
Method: DFT, GGA-PBE
State: optimized geometry

Results
D(E_F): 2.071 states/eV/atom
Formation energy from the elements: -0.45 eV/atom
SG: P-4m2 (115)
Magnetization: 7.77 μB per cell

abc: 4.287 4.287 10.396
angles: 90.00 90.00 90.00
Last column: magnetic moment on the atom in μB.
Sites, in units of the cell vectors:
Np (0.500, 0.000, 0.251)  3.86
Np (0.000, 0.500, 0.749)  3.86
Ge (0.000, 0.500, 0.360)  -0.03
Ge (0.000, 0.000, 0.000)  -0.02
Ge (0.500, 0.500, 0.000)  -0.03
Ge (0.500, 0.000, 0.640)  -0.03
Pt (0.000, 0.000, 0.500)  -0.07
Pt (0.500, 0.000, 0.874)  -0.04
Pt (0.000, 0.500, 0.126)  -0.04
Ga (0.500, 0.500, 0.500)  -0.03

***

Material: Zn2Pb3
Method: DFT, GGA-PBE
State: optimized geometry

Results
D(E_F): 0.214 states/eV/atom
Formation energy from the elements: 0.14 eV/atom
SG: R-3m (166)
Magnetization: 0.00 μB per cell
Energy above the most stable polymorph in this dataset: 18.0 meV per atom

abc: 11.262 11.262 11.262
angles: 19.02 19.02 19.02
Sites, in units of the cell vectors:
Pb (0.000, 0.000, 0.000)
Pb (0.207, 0.207, 0.207)
Pb (0.793, 0.793, 0.793)
Zn (0.396, 0.396, 0.396)
Zn (0.604, 0.604, 0.604)

***

Material: HgSb2Ru
Method: DFT, GGA-PBE
State: optimized geometry

Results
D(E_F): 0.629 states/eV/atom
SG: R3m (160)
Magnetization: 0.00 μB per cell
Raw formation energy: 0.264 eV per atom

abc: 9.585 9.585 9.585
angles: 20.15 20.15 20.15
Sites, in units of the cell vectors:
Ru (0.255, 0.255, 0.255)
Hg (0.512, 0.512, 0.512)
Sb (0.984, 0.984, 0.984)
Sb (0.748, 0.748, 0.748)

***

Material: Tl3Te4As
Method: DFT, GGA-PBE
State: optimized geometry

Results
D(E_F): 0.477 states/eV/atom
SG: Imm2 (44)
Magnetization: 0.00 μB per cell
Raw formation energy: -0.057 eV per atom
Energy above the most stable polymorph in this dataset: 89.8 meV per atom

abc: 7.654 7.654 7.654
angles: 92.64 118.92 118.06
Sites, in units of the cell vectors:
Te (0.174, 0.288, 0.462)
Te (0.174, 0.712, 0.886)
Te (0.134, 0.800, 0.334)
Te (0.534, 0.200, 0.334)
Tl (0.587, 0.223, 0.810)
Tl (0.958, 0.000, 0.958)
Tl (0.587, 0.777, 0.364)
As (0.003, 0.500, 0.503)

***

Material: Mg2AlRu
Method: DFT, GGA-PBE
State: optimized geometry

Results
D(E_F): 0.467 states/eV/atom
Formation energy from the elements: -0.01 eV/atom
SG: P2/m (10)
Magnetization: 0.62 μB per cell

abc: 4.435 2.873 5.399
angles: 75.28 90.00 90.00
Last column: magnetic moment on the atom in μB.
Sites, in units of the cell vectors:
Al (0.500, 0.750, 0.750)  0.00
Ru (0.500, 0.250, 0.250)  0.64
Mg (0.000, 0.481, 0.486)  -0.01
Mg (0.000, 0.019, 0.014)  -0.01

***

Material: Sm2Ga4PdRh3
Method: DFT, GGA-PBE
State: optimized geometry

Results
D(E_F): 0.469 states/eV/atom
Formation energy from the elements: -0.80 eV/atom
SG: P-4m2 (115)
Magnetization: 0.00 μB per cell

abc: 4.256 4.256 10.275
angles: 90.00 90.00 90.00
Sites, in units of the cell vectors:
Sm (0.500, 0.000, 0.253)
Sm (0.000, 0.500, 0.747)
Ga (0.000, 0.000, 0.000)
Ga (0.500, 0.500, 0.000)
Ga (0.500, 0.000, 0.631)
Ga (0.000, 0.500, 0.369)
Pd (0.500, 0.500, 0.500)
Rh (0.000, 0.000, 0.500)
Rh (0.000, 0.500, 0.130)
Rh (0.500, 0.000, 0.870)

***

Material: K2ZrCl
Method: DFT, GGA-PBE
State: optimized geometry

Results
D(E_F): 0.887 states/eV/atom
SG: P4mm (99)
Magnetization: 1.08 μB per cell
Raw formation energy: -0.077 eV per atom
Energy above the most stable polymorph in this dataset: 205.0 meV per atom

abc: 3.417 3.417 11.181
angles: 90.00 90.00 90.00
Last column: magnetic moment on the atom in μB.
Sites, in units of the cell vectors:
Zr (0.000, 0.000, 0.568)  0.53
Cl (0.500, 0.500, 0.721)  0.00
K (0.500, 0.500, 0.289)  0.02
K (0.000, 0.000, 0.921)  0.01

***

Material: Rb2AgHI6
Method: DFT, GGA-PBE
State: optimized geometry

Results
D(E_F): 0.000 states/eV/atom
SG: I4/mmm (139)
Magnetization: 0.00 μB per cell
E: -2.33 eV per atom

abc: 8.689 8.689 8.201
angles: 58.01 58.01 90.00
Sites, in units of the cell vectors:
I (0.779, 0.221, 0.000)
I (0.779, 0.779, 0.000)
I (0.323, 0.323, 0.353)
I (0.221, 0.779, 0.000)
I (0.221, 0.221, 0.000)
I (0.677, 0.677, 0.647)
H (0.500, 0.500, 0.000)
Ag (0.000, 0.000, 0.000)
Rb (0.250, 0.750, 0.500)
Rb (0.750, 0.250, 0.500)

***

Material: YNiIN2
Method: DFT, GGA-PBE
State: optimized geometry

Results
D(E_F): 0.733 states/eV/atom
SG: P4/mmm (123)
Magnetization: 1.29 μB per cell
Raw formation energy: 0.779 eV per atom
Energy above the most stable polymorph in this dataset: 0.0 meV per atom

abc: 4.119 4.119 4.810
angles: 90.00 90.00 90.00
Last column: magnetic moment on the atom in μB.
Sites, in units of the cell vectors:
Y (0.500, 0.500, 0.500)  -0.04
N (0.500, 0.000, 0.000)  0.40
N (0.000, 0.500, 0.000)  0.40
I (0.000, 0.000, 0.500)  0.04
Ni (0.000, 0.000, 0.000)  0.21